The following is a DFT calculation (PBE-GGA) of a relaxed CaPb3C crystal.

* symmetry: No. 221
* total magnetization: 1.78 μB per cell
* energy relative to the lowest polymorph listed for this composition: 1217 meV per atom
* ΔH_f (0 K): 1.91 eV per atom

```
5
Lattice="5.944 0.000 0.000 0.000 5.944 0.000 0.000 0.000 5.944" Properties=species:S:1:pos:R:3 pbc="T T T"
Ca 0.000 0.000 0.000
C 2.972 2.972 2.972
Pb 2.972 0.000 0.000
Pb 0.000 2.972 0.000
Pb 0.000 0.000 2.972
```

The following is a DFT calculation (PBE-GGA) of a relaxed CaPb3C crystal.

* symmetry: No. 221
* total magnetization: 0.04 μB per cell
* energy relative to the lowest polymorph listed for this composition: 0 meV per atom
* ΔH_f (0 K): 0.69 eV per atom

```
5
Lattice="5.160 0.000 0.000 0.000 5.160 0.000 0.000 0.000 5.160" Properties=species:S:1:pos:R:3 pbc="T T T"
Pb 0.000 2.580 0.000
Pb 2.580 0.000 0.000
Pb 0.000 0.000 2.580
C 0.000 0.000 0.000
Ca 2.580 2.580 2.580
```

The following is a DFT calculation (PBE-GGA) of a relaxed Ca2RuPbC crystal.

* symmetry: No. 123
* total magnetization: 0.00 μB per cell
* ΔH_f (0 K): -0.14 eV per atom

```
5
Lattice="-0.156 3.985 3.293 3.254 -2.484 3.160 3.062 1.652 -1.854" Properties=species:S:1:pos:R:3 pbc="T T T"
Ru 1.531 0.826 -0.927
C 0.000 0.000 0.000
Ca -0.078 1.992 1.647
Ca 1.627 -1.242 1.580
Pb 3.080 1.576 2.300
```

The following is a DFT calculation (PBE-GGA) of a relaxed Ca2ScPbC crystal.

* symmetry: No. 123
* total magnetization: 0.00 μB per cell
* ΔH_f (0 K): -0.29 eV per atom

```
5
Lattice="-1.312 3.512 3.443 -4.911 -1.126 -0.723 0.235 -3.127 3.280" Properties=species:S:1:pos:R:3 pbc="T T T"
Pb -2.994 -0.371 3.000
Ca -0.656 1.756 1.721
Ca -2.456 -0.563 -0.361
C 0.000 0.000 0.000
Sc 0.117 -1.564 1.640
```

The following is a DFT calculation (PBE-GGA) of a relaxed CaSc2PbC crystal.

* symmetry: No. 123
* total magnetization: 0.00 μB per cell
* energy relative to the lowest polymorph listed for this composition: 2009 meV per atom
* ΔH_f (0 K): 1.51 eV per atom

```
5
Lattice="-4.704 -2.548 -0.657 1.521 -3.833 3.975 -2.208 3.090 3.824" Properties=species:S:1:pos:R:3 pbc="T T T"
Sc -2.352 -1.274 -0.329
Sc -1.104 1.545 1.912
C -2.696 -1.645 3.571
Ca 0.760 -1.916 1.987
Pb 0.000 0.000 0.000
```

The following is a DFT calculation (PBE-GGA) of a relaxed CaSc2PbC crystal.

* symmetry: No. 123
* total magnetization: 0.00 μB per cell
* energy relative to the lowest polymorph listed for this composition: 0 meV per atom
* ΔH_f (0 K): -0.50 eV per atom

```
5
Lattice="-0.505 0.714 4.527 -0.467 -4.538 0.663 4.870 -0.412 0.609" Properties=species:S:1:pos:R:3 pbc="T T T"
Sc -0.253 0.357 2.263
Sc -0.234 -2.269 0.332
Ca 2.435 -0.206 0.304
Pb 1.949 -2.119 2.899
C 0.000 0.000 0.000
```

The following is a DFT calculation (PBE-GGA) of a relaxed CaSm2PbC crystal.

* symmetry: No. 123
* total magnetization: 0.00 μB per cell
* ΔH_f (0 K): -0.41 eV per atom

```
5
Lattice="-2.494 -3.742 2.233 2.741 -3.370 -2.586 3.426 -0.065 3.717" Properties=species:S:1:pos:R:3 pbc="T T T"
Sm 1.371 -1.685 -1.293
Sm 1.713 -0.033 1.858
C 0.000 0.000 0.000
Ca -1.247 -1.871 1.117
Pb 1.837 -3.589 1.682
```

The following is a DFT calculation (PBE-GGA) of a relaxed Sr2CaPbC crystal.

* symmetry: No. 123
* total magnetization: 0.00 μB per cell
* ΔH_f (0 K): 0.96 eV per atom

```
5
Lattice="6.579 0.000 0.000 0.000 4.247 0.000 0.000 0.000 6.579" Properties=species:S:1:pos:R:3 pbc="T T T"
Ca 0.000 0.000 0.000
Sr 3.289 0.000 0.000
Sr 0.000 0.000 3.289
Pb 3.289 2.124 3.289
C 0.000 2.124 0.000
```

The following is a DFT calculation (PBE-GGA) of a relaxed Ca2TcPbC crystal.

* symmetry: No. 123
* total magnetization: 3.25 μB per cell
* ΔH_f (0 K): 1.76 eV per atom

```
5
Lattice="-4.650 -3.692 -1.089 -0.707 -0.367 4.265 -3.721 4.749 -0.209" Properties=species:S:1:pos:R:3 pbc="T T T"
C -0.354 -0.183 2.133
Tc -4.539 0.345 1.484
Ca -1.861 2.374 -0.104
Ca -2.325 -1.846 -0.544
Pb 0.000 0.000 0.000
```

The following is a DFT calculation (PBE-GGA) of a relaxed CaTc2PbC crystal.

* symmetry: No. 123
* total magnetization: 5.00 μB per cell
* ΔH_f (0 K): 2.26 eV per atom

```
5
Lattice="5.250 0.000 0.000 0.000 4.513 0.000 0.000 0.000 5.250" Properties=species:S:1:pos:R:3 pbc="T T T"
C 0.000 2.257 0.000
Ca 2.625 2.257 2.625
Pb 0.000 0.000 0.000
Tc 2.625 0.000 0.000
Tc 0.000 0.000 2.625
```

The following is a DFT calculation (PBE-GGA) of a relaxed Ca2TiPbC crystal.

* symmetry: No. 123
* total magnetization: 0.00 μB per cell
* ΔH_f (0 K): 0.70 eV per atom

```
5
Lattice="4.843 0.000 0.000 0.000 5.153 0.000 0.000 0.000 4.843" Properties=species:S:1:pos:R:3 pbc="T T T"
Pb 0.000 2.577 0.000
C 0.000 0.000 0.000
Ca 2.422 0.000 0.000
Ca 0.000 0.000 2.422
Ti 2.422 2.577 2.422
```

The following is a DFT calculation (PBE-GGA) of a relaxed CaTlPb2C crystal.

* symmetry: No. 123
* total magnetization: 0.00 μB per cell
* ΔH_f (0 K): 1.08 eV per atom

```
5
Lattice="-1.644 -0.680 5.976 2.960 -2.697 0.507 3.907 4.589 1.597" Properties=species:S:1:pos:R:3 pbc="T T T"
Pb 1.954 2.294 0.799
Pb -0.822 -0.340 2.988
Tl 0.000 0.000 0.000
Ca 2.612 0.606 4.040
C 1.480 -1.348 0.254
```

VASP energy (eV for the cell shown)
-12.80 -18.88 -26.91 -24.71 -20.03 -30.07 -26.40 -13.49 -18.50 -24.35 -21.34 -15.61